# NdY2Ho (PBE-GGA, optimized geometry)
data_NdY2Ho
_symmetry_space_group_name_H-M 'P 1'
_symmetry_Int_Tables_number 1
_cell_length_a 5.0704
_cell_length_b 5.0704
_cell_length_c 5.0762
_cell_angle_alpha 90.00
_cell_angle_beta 90.00
_cell_angle_gamma 90.00
loop_
_symmetry_equiv_pos_as_xyz
'x,y,z'
loop_
_atom_site_label
_atom_site_type_symbol
_atom_site_fract_x
_atom_site_fract_y
_atom_site_fract_z
Nd1 Nd 0.0000 0.0000 0.0000
Y1 Y 0.0000 0.5000 0.5000
Y2 Y 0.5000 0.0000 0.5000
Ho1 Ho 0.5000 0.5000 0.0000
# **Energy above the most stable polymorph in this dataset**: 17 meV/atom
# **E_form**: 23.2 meV/atom
# **N(E_F)**: 5.99 states/eV/f.u.